Here is MgPaRuAu after structural relaxation from Alexandria. Energies are from PBE.

Cell lengths 6.8115, 6.8115, 6.8115 Å; angles 90.00, 90.00, 90.00 degrees
Last column: nearest neighbours and their distance in Å.
Fractional positions:
Mg (0.0000, 0.0000, 0.0000)  4 Ru 2.95, 4 Au 2.95
Mg (0.0000, 0.5000, 0.5000)  4 Ru 2.95, 4 Au 2.95
Mg (0.5000, 0.0000, 0.5000)  4 Ru 2.95, 4 Au 2.95
Mg (0.5000, 0.5000, 0.0000)  4 Ru 2.95, 4 Au 2.95
Pa (0.0000, 0.0000, 0.5000)  4 Au 2.95, 4 Ru 2.95
Pa (0.0000, 0.5000, 0.0000)  4 Au 2.95, 4 Ru 2.95
Pa (0.5000, 0.0000, 0.0000)  4 Au 2.95, 4 Ru 2.95
Pa (0.5000, 0.5000, 0.5000)  4 Au 2.95, 4 Ru 2.95
Ru (0.2500, 0.2500, 0.2500)  4 Pa 2.95, 4 Mg 2.95
Ru (0.2500, 0.7500, 0.7500)  4 Pa 2.95, 4 Mg 2.95
Ru (0.7500, 0.2500, 0.7500)  4 Pa 2.95, 4 Mg 2.95
Ru (0.7500, 0.7500, 0.2500)  4 Pa 2.95, 4 Mg 2.95
Au (0.2500, 0.2500, 0.7500)  4 Mg 2.95, 4 Pa 2.95
Au (0.2500, 0.7500, 0.2500)  4 Mg 2.95, 4 Pa 2.95
Au (0.7500, 0.2500, 0.2500)  4 Mg 2.95, 4 Pa 2.95
Au (0.7500, 0.7500, 0.7500)  4 Mg 2.95, 4 Pa 2.95

Values from the calculation:
Space-group type: F-43m (216)
Energy in eV/atom: -6.174

---

Here is MgPaSiAu after structural relaxation from Alexandria. Energies are from PBE.

Cell lengths 6.8982, 6.8982, 6.8982 Å; angles 90.00, 90.00, 90.00 degrees
Last column: nearest neighbours and their distance in Å.
Fractional positions:
Mg (0.0000, 0.0000, 0.0000)  4 Si 2.99, 4 Au 2.99
Mg (0.0000, 0.5000, 0.5000)  4 Si 2.99, 4 Au 2.99
Mg (0.5000, 0.0000, 0.5000)  4 Si 2.99, 4 Au 2.99
Mg (0.5000, 0.5000, 0.0000)  4 Si 2.99, 4 Au 2.99
Pa (0.0000, 0.0000, 0.5000)  4 Au 2.99, 4 Si 2.99
Pa (0.0000, 0.5000, 0.0000)  4 Au 2.99, 4 Si 2.99
Pa (0.5000, 0.0000, 0.0000)  4 Au 2.99, 4 Si 2.99
Pa (0.5000, 0.5000, 0.5000)  4 Au 2.99, 4 Si 2.99
Si (0.2500, 0.2500, 0.2500)  4 Pa 2.99, 4 Mg 2.99
Si (0.2500, 0.7500, 0.7500)  4 Pa 2.99, 4 Mg 2.99
Si (0.7500, 0.2500, 0.7500)  4 Pa 2.99, 4 Mg 2.99
Si (0.7500, 0.7500, 0.2500)  4 Pa 2.99, 4 Mg 2.99
Au (0.2500, 0.2500, 0.7500)  4 Pa 2.99, 4 Mg 2.99
Au (0.2500, 0.7500, 0.2500)  4 Pa 2.99, 4 Mg 2.99
Au (0.7500, 0.2500, 0.2500)  4 Pa 2.99, 4 Mg 2.99
Au (0.7500, 0.7500, 0.7500)  4 Pa 2.99, 4 Mg 2.99

Values from the calculation:
Space-group type: F-43m (216)
Raw formation energy in eV per atom: -0.31

---

Here is MgPaZnAu after structural relaxation from Alexandria. Energies are from PBE.

Cell lengths 6.9295, 6.9295, 6.9295 Å; angles 90.00, 90.00, 90.00 degrees
Last column: nearest neighbours and their distance in Å.
Fractional positions:
Mg (0.0000, 0.0000, 0.0000)  4 Zn 3.00, 4 Au 3.00
Mg (0.0000, 0.5000, 0.5000)  4 Zn 3.00, 4 Au 3.00
Mg (0.5000, 0.0000, 0.5000)  4 Zn 3.00, 4 Au 3.00
Mg (0.5000, 0.5000, 0.0000)  4 Zn 3.00, 4 Au 3.00
Pa (0.0000, 0.0000, 0.5000)  4 Zn 3.00, 4 Au 3.00
Pa (0.0000, 0.5000, 0.0000)  4 Zn 3.00, 4 Au 3.00
Pa (0.5000, 0.0000, 0.0000)  4 Zn 3.00, 4 Au 3.00
Pa (0.5000, 0.5000, 0.5000)  4 Zn 3.00, 4 Au 3.00
Zn (0.2500, 0.2500, 0.2500)  4 Pa 3.00, 4 Mg 3.00
Zn (0.2500, 0.7500, 0.7500)  4 Pa 3.00, 4 Mg 3.00
Zn (0.7500, 0.2500, 0.7500)  4 Pa 3.00, 4 Mg 3.00
Zn (0.7500, 0.7500, 0.2500)  4 Pa 3.00, 4 Mg 3.00
Au (0.2500, 0.2500, 0.7500)  4 Mg 3.00, 4 Pa 3.00
Au (0.2500, 0.7500, 0.2500)  4 Pa 3.00, 4 Mg 3.00
Au (0.7500, 0.2500, 0.2500)  4 Pa 3.00, 4 Mg 3.00
Au (0.7500, 0.7500, 0.7500)  4 Mg 3.00, 4 Pa 3.00

Values from the calculation:
Space-group type: F-43m (216)
Energy in eV/atom: -4.158

---

Here is Mg4PbAu2 after structural relaxation from Alexandria. Energies are from PBE.

Cell lengths 8.6051, 8.6051, 8.6051 Å; angles 31.58, 31.58, 31.58 degrees
Last column: nearest neighbours and their distance in Å.
Fractional positions:
Mg (0.1031, 0.1031, 0.1031)  3 Au 2.78
Mg (0.3678, 0.3678, 0.3678)  4 Au 2.71-2.89
Mg (0.6322, 0.6322, 0.6322)  4 Au 2.71-2.89
Mg (0.8969, 0.8969, 0.8969)  3 Au 2.78
Pb (0.5000, 0.5000, 0.5000)  8 Mg 3.12-3.24
Au (0.2574, 0.2574, 0.2574)  7 Mg 2.71-2.89
Au (0.7426, 0.7426, 0.7426)  7 Mg 2.71-2.89

Values from the calculation:
Space-group type: R-3m (166)
Energy in eV/atom: -2.738

---

Here is Mg2PbAu after structural relaxation from Alexandria. Energies are from PBE.

Cell lengths 4.2844, 4.2844, 9.5846 Å; angles 90.00, 90.00, 90.00 degrees
Last column: nearest neighbours and their distance in Å.
Fractional positions:
Mg (0.0000, 0.0000, 0.0000)  4 Au 3.03, 4 Pb 3.21, 4 Mg 3.21
Mg (0.0000, 0.5000, 0.2500)  4 Pb 3.03, 4 Mg 3.21, 4 Au 3.21
Mg (0.5000, 0.0000, 0.7500)  4 Pb 3.03, 4 Mg 3.21, 4 Au 3.21
Mg (0.5000, 0.5000, 0.5000)  4 Au 3.03, 4 Pb 3.21, 4 Mg 3.21
Pb (0.0000, 0.5000, 0.7500)  8 Mg 3.03-3.21, 4 Au 3.21
Pb (0.5000, 0.0000, 0.2500)  8 Mg 3.03-3.21, 4 Au 3.21
Au (0.0000, 0.0000, 0.5000)  8 Mg 3.03-3.21, 4 Pb 3.21
Au (0.5000, 0.5000, 0.0000)  8 Mg 3.03-3.21, 4 Pb 3.21

Values from the calculation:
Space-group type: I-4m2 (119)
Energy in eV/atom: -2.748

---

Here is MgPbAu after structural relaxation from Alexandria. Energies are from PBE.

Cell lengths 3.4970, 3.4970, 11.2927 Å; angles 90.00, 90.00, 90.00 degrees
Last column: nearest neighbours and their distance in Å.
Fractional positions:
Mg (0.0000, 0.0000, 0.0000)  4 Au 2.78
Mg (0.5000, 0.5000, 0.5000)  4 Au 2.78
Pb (0.0000, 0.0000, 0.2988)  5 Au 3.25-3.54, 5 Mg 3.36-3.37, 4 Pb 3.50
Pb (0.5000, 0.5000, 0.7988)  5 Au 3.25-3.54, 5 Mg 3.36-3.37, 4 Pb 3.50
Au (0.0000, 0.0000, 0.6121)  4 Mg 2.78
Au (0.5000, 0.5000, 0.1121)  4 Mg 2.78

Values from the calculation:
Space-group type: I4mm (107)
Energy in eV/atom: -3.118

---

Here is Mg2PbAu after structural relaxation from Alexandria. Energies are from PBE.

Cell lengths 3.5672, 4.9106, 4.9283 Å; angles 90.00, 90.00, 90.00 degrees
Last column: nearest neighbours and their distance in Å.
Fractional positions:
Mg (0.0000, 0.0000, 0.0000)  4 Au 3.01-3.07, 4 Pb 3.04
Mg (0.0000, 0.5000, 0.4766)  4 Pb 3.03-3.05, 4 Au 3.04
Pb (0.5000, 0.5000, 0.9740)  8 Mg 3.03-3.05
Au (0.5000, 0.0000, 0.4931)  8 Mg 3.01-3.07

Values from the calculation:
Space-group type: Pmm2 (25)
Energy in eV/atom: -2.782

---

Here is MgPb3Au after structural relaxation from Alexandria. Energies are from PBE.

Cell lengths 5.5903, 5.5903, 5.5903 Å; angles 90.00, 90.00, 90.00 degrees
Last column: nearest neighbours and their distance in Å.
Fractional positions:
Mg (0.0000, 0.0000, 0.0000)  12 Pb 3.95
Pb (0.0000, 0.5000, 0.5000)  2 Au 2.80
Pb (0.5000, 0.0000, 0.5000)  2 Au 2.80
Pb (0.5000, 0.5000, 0.0000)  2 Au 2.80
Au (0.5000, 0.5000, 0.5000)  6 Pb 2.80

Values from the calculation:
Space-group type: Pm-3m (221)
Energy above the most stable polymorph in this dataset in kJ/mol of atoms: 0.0